# TlAs2

A geometry-optimized TlAs2 structure (PBEsol, the Alexandria database).

Computed properties:
Total moment: 0.00 μB per formula unit
Raw total energy: -12.74 eV/cell
ρ: 8.005 Mg/m³
Energy relative to the elements: 0.035 eV per atom

Cell: 3.5398 3.5398 6.7711 Å, 90.00 90.00 120.00°
Space group P-3m1 (No. 164)
Inequivalent atoms, fractional coordinates:
Tl 0.0000 0.0000 0.0000
As 0.3333 0.6667 0.3932